[1]
Entry from the Alexandria database: crystalline Ca2LaAg at its relaxed geometry (PBEsol).

Lattice parameters (Å, degrees): 3.711 3.711 9.307 90.00 90.00 90.00
Element x y z (fractional)
Ca (0.000, 0.000, 0.940)
Ca (0.500, 0.500, 0.249)
Ag (0.500, 0.500, 0.754)
La (0.000, 0.000, 0.556)

## Properties
total magnetic moment = 0.0 μB/f.u.
energy above the most stable polymorph in this dataset = 0 meV per atom
D(E_F) = 4.9 states/eV/cell
energy = -3.327 eV per atom
energy of formation = -0.383 eV/f.u.

[2]
Entry from the Alexandria database: crystalline Ca2LaAg at its relaxed geometry (PBEsol).

Lattice parameters (Å, degrees): 3.750 3.750 10.813 80.02 80.02 60.00
Element x y z (fractional)
Ca (0.266, 0.266, 0.201)
Ca (0.734, 0.734, 0.799)
Ag (0.000, 0.000, 0.000)
La (0.500, 0.500, 0.500)

## Properties
total magnetic moment = 0.0 μB/f.u.
energy above the most stable polymorph in this dataset = 104 meV per atom
D(E_F) = 3.5 states/eV/cell
energy = -3.223 eV per atom
energy of formation = 0.033 eV/f.u.

- Among the records above, which one has the highest energy?
  number 2

- Which value of D(E_F) does entry 2 give?
  3.5 states/eV/cell

- Among the records above, which one has the lowest energy?
  number 1